Record 1
! Ca2GaRuC GGA-PBE relaxed; values from VASP
! **Total magnetic moment**: 0.0 μB/cell
! **Calculated formation energy**: -0.112 eV per atom
! **D(E_F)**: 4.969 states/eV/f.u.
&SYSTEM
  ibrav = 0, nat = 5, ntyp = 4
/
ATOMIC_SPECIES
Ru 101.07 Ru.upf
Ga 69.72 Ga.upf
C 12.01 C.upf
Ca 40.08 Ca.upf
CELL_PARAMETERS angstrom
-2.9597 -1.5210 -3.7939
-3.3896 -1.7043 3.3276
-1.7697 3.4862 -0.0171
ATOMIC_POSITIONS crystal
Ru 0.0000 0.0000 0.5000
Ga 0.5000 0.5000 0.5000
C 0.0000 0.0000 0.0000
Ca 0.5000 0.0000 0.0000
Ca 0.0000 0.5000 0.0000

Record 2
! MnBi2Pd8 GGA-PBE relaxed; values from VASP
! **Energy relative to the lowest polymorph listed for this composition**: 0 meV/atom
! **Total magnetic moment**: 4.7 μB/cell
! **Calculated formation energy**: -0.233 eV per atom
! **D(E_F)**: 5.374 states/eV/f.u.
&SYSTEM
  ibrav = 0, nat = 11, ntyp = 3
/
ATOMIC_SPECIES
Pd 106.42 Pd.upf
Bi 208.98 Bi.upf
Mn 54.94 Mn.upf
CELL_PARAMETERS angstrom
3.8608 0.0000 -1.1750
-1.1840 6.8496 -3.8902
0.1794 -0.3301 7.5198
ATOMIC_POSITIONS crystal
Pd 0.8383 0.8383 0.6765
Pd 0.6623 0.4111 0.3246
Pd 0.6623 0.9134 0.3246
Pd 0.0000 0.2424 0.0000
Pd 0.1617 0.1617 0.3235
Pd 0.0000 0.7576 0.0000
Pd 0.3377 0.5889 0.6754
Pd 0.3377 0.0866 0.6754
Bi 0.8413 0.3413 0.6825
Bi 0.1587 0.6587 0.3175
Mn 0.5000 0.0000 0.0000

Record 3
! Ce10Bi3Te3 GGA-PBE relaxed; values from VASP
! **ΔE_f (raw)**: -0.76 eV/atom
! **Total magnetic moment**: 10.6 μB/cell
! **D(E_F)**: 59.449 states/eV/f.u.
&SYSTEM
  ibrav = 0, nat = 16, ntyp = 3
/
ATOMIC_SPECIES
Bi 208.98 Bi.upf
Ce 140.12 Ce.upf
Te 127.60 Te.upf
CELL_PARAMETERS angstrom
-1.4078 5.3811 3.1243
-7.2289 1.4821 -5.8099
-1.2581 -4.9173 7.9023
ATOMIC_POSITIONS crystal
Bi 0.5000 0.0000 0.3848
Bi 0.5000 0.6152 0.6152
Bi 0.5000 0.3848 0.0000
Ce 0.2466 0.6667 0.3333
Ce 0.5000 0.0000 0.7420
Ce 0.7534 0.6667 0.3333
Ce 0.5000 0.2580 0.2580
Ce 0.5000 0.7420 0.0000
Ce 0.2466 0.3333 0.6667
Ce 0.0000 0.0000 0.2572
Ce 0.0000 0.2572 0.0000
Ce 0.7534 0.3333 0.6667
Ce 0.0000 0.7428 0.7428
Te 0.0000 0.3818 0.3818
Te 0.0000 0.0000 0.6182
Te 0.0000 0.6182 0.0000

Record 4
! Er11In6Si4 GGA-PBE relaxed; values from VASP
! **ΔE_f (raw)**: -0.59 eV/atom
! **Total magnetic moment**: 0.0 μB/cell
! **D(E_F)**: 12.642 states/eV/f.u.
&SYSTEM
  ibrav = 0, nat = 42, ntyp = 3
/
ATOMIC_SPECIES
Er 167.26 Er.upf
In 114.82 In.upf
Si 28.09 Si.upf
CELL_PARAMETERS angstrom
-4.5649 -3.8468 9.6729
1.4841 -10.6880 -3.5728
8.8330 7.1458 0.3432
ATOMIC_POSITIONS crystal
Er 0.1705 0.1705 0.0000
Er 0.4346 0.6849 0.7496
Er 0.6849 0.4346 0.7496
Er 0.4495 0.1014 0.3481
Er 0.5505 0.8986 0.6519
Er 0.0647 0.3151 0.7496
Er 0.8986 0.5505 0.6519
Er 0.8295 0.8295 0.0000
Er 0.3338 0.3338 0.6677
Er 0.7534 0.1014 0.6519
Er 0.1014 0.7534 0.6519
Er 0.6849 0.9353 0.2504
Er 0.5654 0.3151 0.2504
Er 0.6662 0.3338 0.0000
Er 0.9353 0.6849 0.2504
Er 0.2466 0.8986 0.3481
Er 0.3151 0.0647 0.7496
Er 0.3338 0.6662 0.0000
Er 0.8986 0.2466 0.3481
Er 0.1014 0.4495 0.3481
Er 0.3151 0.5654 0.2504
Er 0.6662 0.6662 0.3323
In 0.1292 0.8708 0.0000
In 0.0354 0.0354 0.4123
In 0.6231 0.6231 0.5877
In 0.8708 0.8708 0.7417
In 0.3769 0.9646 0.0000
In 0.3769 0.3769 0.4123
In 0.0354 0.6231 0.0000
In 0.8708 0.1292 0.0000
In 0.1292 0.1292 0.2583
In 0.9646 0.9646 0.5877
In 0.9646 0.3769 0.0000
In 0.6231 0.0354 0.0000
Si 0.7500 0.2500 0.5000
Si 0.5000 0.8472 0.3472
Si 0.6200 0.6200 0.0000
Si 0.3800 0.3800 0.0000
Si 0.1528 0.5000 0.6528
Si 0.5000 0.1528 0.6528
Si 0.8472 0.5000 0.3472
Si 0.2500 0.7500 0.5000

Record 5
! Mn2NbNi GGA-PBE relaxed; values from VASP
! **Energy relative to the lowest polymorph listed for this composition**: 0 meV/atom
! **Total magnetic moment**: 4.8 μB/cell
! **Calculated formation energy**: -0.026 eV per atom
! **D(E_F)**: 2.410 states/eV/f.u.
&SYSTEM
  ibrav = 0, nat = 4, ntyp = 3
/
ATOMIC_SPECIES
Mn 54.94 Mn.upf
Nb 92.91 Nb.upf
Ni 58.69 Ni.upf
CELL_PARAMETERS angstrom
-2.5355 1.5124 -1.5400
-2.4648 -2.9646 1.1468
-0.8502 2.0132 3.3769
ATOMIC_POSITIONS crystal
Mn 0.0000 0.0000 0.5000
Mn 0.0000 0.5000 0.0000
Nb 0.5000 0.5000 0.5000
Ni 0.5000 0.0000 0.0000

Record 6
! HoCdHgGe GGA-PBE relaxed; values from VASP
! **Total magnetic moment**: 0.0 μB/cell
! **Calculated formation energy**: -0.252 eV per atom
! **D(E_F)**: 3.358 states/eV/f.u.
&SYSTEM
  ibrav = 0, nat = 4, ntyp = 4
/
ATOMIC_SPECIES
Hg 200.59 Hg.upf
Cd 112.41 Cd.upf
Ge 72.64 Ge.upf
Ho 164.93 Ho.upf
CELL_PARAMETERS angstrom
5.0460 0.0000 0.0000
2.5230 4.3699 0.0000
2.5230 1.4566 4.1200
ATOMIC_POSITIONS crystal
Hg 0.7500 0.7500 0.7500
Cd 0.5000 0.5000 0.5000
Ge 0.2500 0.2500 0.2500
Ho 0.0000 0.0000 0.0000

Record 7
! LiZn2SbPt GGA-PBE relaxed; values from VASP
! **ΔE_f (raw)**: -0.01 eV/atom
! **Total magnetic moment**: 0.0 μB/cell
! **D(E_F)**: 2.648 states/eV/f.u.
&SYSTEM
  ibrav = 0, nat = 5, ntyp = 4
/
ATOMIC_SPECIES
Zn 65.41 Zn.upf
Li 6.94 Li.upf
Sb 121.76 Sb.upf
Pt 195.08 Pt.upf
CELL_PARAMETERS angstrom
4.8295 0.0000 0.0000
0.0000 4.6410 0.0000
0.0000 0.0000 4.8295
ATOMIC_POSITIONS crystal
Zn 0.5000 0.0000 0.0000
Zn 0.0000 0.0000 0.5000
Li 0.0000 0.5000 0.0000
Sb 0.5000 0.5000 0.5000
Pt 0.0000 0.0000 0.0000

Record 8
! KCdAu3C6N6 GGA-PBE relaxed; values from VASP
! **ΔE_f (raw)**: 0.16 eV/atom
! **Total magnetic moment**: 0.0 μB/cell
! **D(E_F)**: 0.000 states/eV/f.u.
&SYSTEM
  ibrav = 0, nat = 17, ntyp = 5
/
ATOMIC_SPECIES
K 39.10 K.upf
Cd 112.41 Cd.upf
N 14.01 N.upf
Au 196.97 Au.upf
C 12.01 C.upf
CELL_PARAMETERS angstrom
2.8315 6.1812 -2.3244
-6.8651 -0.2389 2.1072
2.2708 1.8194 7.6047
ATOMIC_POSITIONS crystal
K 0.3333 0.6667 0.0000
Cd 0.0000 0.0000 0.0000
N 0.7307 0.7387 0.8283
N 0.0081 0.7387 0.1717
N 0.2613 0.2693 0.1717
N 0.2613 0.9919 0.8283
N 0.7307 0.9919 0.1717
N 0.0081 0.2693 0.8283
Au 0.5061 0.0122 0.5000
Au 0.5061 0.4939 0.5000
Au 0.9878 0.4939 0.5000
C 0.3549 0.3507 0.2929
C 0.3549 0.0042 0.7071
C 0.9958 0.3507 0.7071
C 0.6493 0.6451 0.7071
C 0.6493 0.0042 0.2929
C 0.9958 0.6451 0.2929

Record 9
! LaPrY2P4 GGA-PBE relaxed; values from VASP
! **Total magnetic moment**: 0.0 μB/cell
! **Calculated formation energy**: -1.577 eV per atom
! **D(E_F)**: 0.760 states/eV/f.u.
&SYSTEM
  ibrav = 0, nat = 8, ntyp = 4
/
ATOMIC_SPECIES
P 30.97 P.upf
Pr 140.91 Pr.upf
Y 88.91 Y.upf
La 138.91 La.upf
CELL_PARAMETERS angstrom
4.1306 0.0000 0.0000
0.0000 7.1417 -0.1386
0.0000 2.5146 6.6946
ATOMIC_POSITIONS crystal
P 0.0000 0.7623 0.7449
P 0.5000 0.7617 0.2470
P 0.0000 0.2377 0.2551
P 0.5000 0.2383 0.7530
Pr 0.0000 0.5000 0.5000
Y 0.0000 0.0000 0.0000
Y 0.5000 0.0000 0.5000
La 0.5000 0.5000 0.0000

Record 10
! La5SmCd GGA-PBE relaxed; values from VASP
! **Total magnetic moment**: 0.0 μB/cell
! **Calculated formation energy**: 0.028 eV per atom
! **D(E_F)**: 9.111 states/eV/f.u.
&SYSTEM
  ibrav = 0, nat = 14, ntyp = 3
/
ATOMIC_SPECIES
La 138.91 La.upf
Cd 112.41 Cd.upf
Sm 150.36 Sm.upf
CELL_PARAMETERS angstrom
-5.9994 2.2377 1.7069
1.2873 -2.8255 5.8543
6.6200 9.7877 0.3182
ATOMIC_POSITIONS crystal
La 0.1409 0.8591 0.7500
La 0.3891 0.0275 0.3450
La 0.2235 0.5448 0.4718
La 0.9725 0.6109 0.1550
La 0.8591 0.1409 0.2500
La 0.4552 0.7765 0.0282
La 0.0275 0.3891 0.8450
La 0.6109 0.9725 0.6550
La 0.5448 0.2235 0.9718
La 0.7765 0.4552 0.5282
Cd 0.0000 0.0000 0.0000
Cd 0.0000 0.0000 0.5000
Sm 0.4947 0.5053 0.2500
Sm 0.5053 0.4947 0.7500

Record 11
! CsBaB12 GGA-PBE relaxed; values from VASP
! **Total magnetic moment**: 0.0 μB/cell
! **Calculated formation energy**: -0.125 eV per atom
! **D(E_F)**: 4.095 states/eV/f.u.
&SYSTEM
  ibrav = 0, nat = 14, ntyp = 3
/
ATOMIC_SPECIES
B 10.81 B.upf
Cs 132.91 Cs.upf
Ba 137.33 Ba.upf
CELL_PARAMETERS angstrom
5.2828 0.0000 3.0500
1.7609 4.9807 3.0500
0.0000 0.0000 6.1001
ATOMIC_POSITIONS crystal
B 0.6018 0.8982 0.6018
B 0.1018 0.3982 0.3982
B 0.3982 0.1018 0.1018
B 0.8982 0.6018 0.8982
B 0.8982 0.6018 0.6018
B 0.6018 0.6018 0.8982
B 0.8982 0.8982 0.6018
B 0.1018 0.1018 0.3982
B 0.1018 0.3982 0.1018
B 0.3982 0.1018 0.3982
B 0.6018 0.8982 0.8982
B 0.3982 0.3982 0.1018
Cs 0.0000 0.0000 0.0000
Ba 0.5000 0.5000 0.5000

Record 12
! ScHgIr2 GGA-PBE relaxed; values from VASP
! **Total magnetic moment**: 0.0 μB/cell
! **Calculated formation energy**: -0.186 eV per atom
! **D(E_F)**: 1.918 states/eV/f.u.
&SYSTEM
  ibrav = 0, nat = 4, ntyp = 3
/
ATOMIC_SPECIES
Hg 200.59 Hg.upf
Ir 192.22 Ir.upf
Sc 44.96 Sc.upf
CELL_PARAMETERS angstrom
4.9226 0.0092 -0.0070
4.0144 2.8490 -0.0070
1.0486 0.3354 4.8707
ATOMIC_POSITIONS crystal
Hg 0.2500 0.2500 0.2500
Ir 0.0086 0.0086 0.9948
Ir 0.4914 0.4914 0.5052
Sc 0.7500 0.7500 0.7500

Question: Which formula does entry 3 have?
Answer: Ce10Bi3Te3